Below is crystalline BeZnMoO4 at its relaxed geometry, with properties calculated at the GGA+U level.

Cell: 5.0362 5.0362 6.2323 Å, 90.00 90.00 112.61°
Last column: magnetic moment on the atom in μB.
Positions (direct):
O: 0.7352 0.7836 0.7500  0.02
O: 0.2648 0.2164 0.2500  0.02
O: 0.7836 0.7352 0.2500  0.02
O: 0.2622 0.7378 0.4652  -0.03
O: 0.2622 0.7378 0.0348  -0.03
O: 0.7378 0.2622 0.9652  -0.03
O: 0.7378 0.2622 0.5348  -0.03
O: 0.2164 0.2648 0.7500  0.02
Zn: 0.1640 0.8360 0.7500  0.02
Zn: 0.8360 0.1640 0.2500  0.02
Mo: 0.5000 0.5000 0.5000  1.93
Mo: 0.5000 0.5000 0.0000  1.93
Be: 0.8452 0.1548 0.7500  0.02
Be: 0.1548 0.8452 0.2500  0.02

Values from the calculation:
Symmetry: Cmcm, No. 63
D(E_F): 0.00 states/eV/f.u.
Magnetic moment: 2.00 μB/f.u.
Final energy: -6.4127 eV per atom